VASP calculation (PBE-GGA) on an optimized crystal structure of GeIrPtAu2.

abc: 5.0767 4.7571 5.0767
angles: 90.00 90.00 90.00
With the nearest neighbours (Å) after each atom.
Fractional positions:
Ge 0.5000 0.5000 0.5000  8 Au 3.48, 4 Pt 3.59
Ir 0.0000 0.0000 0.0000  2 Pt 2.38, 4 Au 2.54
Au 0.0000 0.0000 0.5000  2 Ir 2.54
Au 0.5000 0.0000 0.0000  2 Ir 2.54
Pt 0.0000 0.5000 0.0000  2 Ir 2.38

Values from the calculation:
E	-4.14	eV per atom